1.
DFT (GGA-PBE) results for a relaxed structure of PmTmThAl.

Cell: 5.4076 5.4076 5.4076 Å, 60.00 60.00 60.00°
Fractional coordinates of all 4 atoms:
Al 0.5000 0.5000 0.5000
Pm 0.7500 0.7500 0.7500
Tm 0.0000 0.0000 0.0000
Th 0.2500 0.2500 0.2500

Properties
Density of states at the Fermi level ... 1.12 states/eV per atom
E_form ... -28 meV/atom
Uncorrected energy ... -20.5 eV for the cell shown
Calculated density ... 8.51 Mg/m³



2.
DFT (GGA-PBE) results for a relaxed structure of PmThAlZn.

Cell: 5.2242 5.2242 5.2242 Å, 60.00 60.00 60.00°
Fractional coordinates of all 4 atoms:
Zn 0.2500 0.2500 0.2500
Pm 0.5000 0.5000 0.5000
Al 0.7500 0.7500 0.7500
Th 0.0000 0.0000 0.0000

Properties
Density of states at the Fermi level ... 0.60 states/eV per atom
E_form ... -268 meV/atom
Uncorrected energy ... -18.3 eV for the cell shown
Calculated density ... 7.73 Mg/m³



3.
DFT (GGA-PBE) results for a relaxed structure of PmThAl2Zn2.

Cell: 4.5153 4.5153 7.6270 Å, 90.00 90.00 120.00°
Fractional coordinates of all 6 atoms:
Al 0.6667 0.3333 0.2509
Al 0.3333 0.6667 0.7491
Pm 0.0000 0.0000 0.5000
Zn 0.6667 0.3333 0.7479
Zn 0.3333 0.6667 0.2521
Th 0.0000 0.0000 0.0000

Properties
Density of states at the Fermi level ... 0.70 states/eV per atom
E_form ... -399 meV/atom
Uncorrected energy ... -24.6 eV for the cell shown
Calculated density ... 6.93 Mg/m³



4.
DFT (GGA-PBE) results for a relaxed structure of Pm3Ti5Al12.

Cell: 14.0951 14.0951 14.0951 Å, 109.47 109.47 109.47°
Last column: magnetic moment on the atom in μB.
Fractional coordinates of all 80 atoms:
Al 0.2855 0.4247 0.8483  0.01
Al 0.0753 0.1517 0.2145  0.01
Al 0.5753 0.8607 0.4236  0.01
Al 0.4372 0.7855 0.8607  0.01
Al 0.9372 0.3607 0.2855  0.01
Al 0.8483 0.9247 0.2855  0.01
Al 0.9236 0.8483 0.5628  0.01
Al 0.6393 0.5764 0.9247  0.01
Al 0.1517 0.0753 0.7145  0.01
Al 0.0628 0.4236 0.8483  0.01
Al 0.9372 0.5764 0.1517  0.01
Al 0.4247 0.1393 0.5764  0.01
Al 0.2145 0.6517 0.0753  0.01
Al 0.6393 0.0628 0.2145  0.01
Al 0.7145 0.5753 0.1517  0.01
Al 0.8607 0.2855 0.4372  0.01
Al 0.1393 0.7145 0.5628  0.01
Al 0.1517 0.0764 0.9372  0.01
Al 0.8607 0.5753 0.9236  0.01
Al 0.4247 0.2855 0.3483  0.01
Al 0.0764 0.1517 0.4372  0.01
Al 0.0753 0.9236 0.3607  0.01
Al 0.7145 0.1393 0.0628  0.01
Al 0.5764 0.9372 0.6517  0.01
Al 0.8483 0.9236 0.0628  0.01
Al 0.0764 0.9247 0.1393  0.01
Al 0.9247 0.0764 0.6393  0.01
Al 0.6517 0.4372 0.5764  0.01
Al 0.7855 0.4372 0.3607  0.01
Al 0.3607 0.9372 0.7855  0.01
Al 0.2145 0.5628 0.6393  0.01
Al 0.4372 0.6517 0.0764  0.01
Al 0.4236 0.3607 0.5753  0.01
Al 0.9236 0.0753 0.8607  0.01
Al 0.1393 0.4247 0.0764  0.01
Al 0.6517 0.2145 0.5753  0.01
Al 0.3483 0.7855 0.4247  0.01
Al 0.9247 0.8483 0.7855  0.01
Al 0.4236 0.0628 0.3483  0.01
Al 0.0628 0.6393 0.7145  0.01
Al 0.3607 0.4236 0.0753  0.01
Al 0.3483 0.5628 0.4236  0.01
Al 0.5753 0.7145 0.6517  0.01
Al 0.5628 0.2145 0.1393  0.01
Al 0.5628 0.3483 0.9236  0.01
Al 0.5764 0.6393 0.4247  0.01
Al 0.2855 0.8607 0.9372  0.01
Al 0.7855 0.3483 0.9247  0.01
Pm 0.1250 0.8750 0.7500  0.04
Pm 0.1250 0.2500 0.8750  0.04
Pm 0.7500 0.8750 0.6250  0.04
Pm 0.3750 0.7500 0.6250  0.04
Pm 0.2500 0.6250 0.8750  0.04
Pm 0.8750 0.7500 0.1250  0.04
Pm 0.6250 0.3750 0.7500  0.04
Pm 0.8750 0.1250 0.2500  0.04
Pm 0.2500 0.1250 0.3750  0.04
Pm 0.6250 0.2500 0.3750  0.04
Pm 0.3750 0.6250 0.2500  0.04
Pm 0.7500 0.3750 0.1250  0.04
Ti 0.0000 0.5000 0.5000  -0.49
Ti 0.0000 0.0000 0.5000  -0.49
Ti 0.6250 0.7500 0.8750  1.50
Ti 0.5000 0.5000 0.0000  -0.49
Ti 0.5000 0.5000 0.5000  -0.49
Ti 0.3750 0.2500 0.1250  1.50
Ti 0.1250 0.7500 0.3750  1.50
Ti 0.6250 0.8750 0.2500  1.50
Ti 0.0000 0.5000 0.0000  -0.49
Ti 0.8750 0.6250 0.7500  1.50
Ti 0.3750 0.1250 0.7500  1.50
Ti 0.2500 0.8750 0.1250  1.50
Ti 0.2500 0.3750 0.6250  1.50
Ti 0.7500 0.6250 0.3750  1.50
Ti 0.5000 0.0000 0.5000  -0.49
Ti 0.7500 0.1250 0.8750  1.50
Ti 0.0000 0.0000 0.0000  -0.49
Ti 0.5000 0.0000 0.0000  -0.49
Ti 0.1250 0.3750 0.2500  1.50
Ti 0.8750 0.2500 0.6250  1.50

Properties
Density of states at the Fermi level ... 1.08 states/eV per atom
E_form ... 706 meV/atom
Uncorrected energy ... -338.1 eV for the cell shown
Calculated density ... 3.08 Mg/m³



5.
DFT (GGA-PBE) results for a relaxed structure of Pm2TiAl.

Cell: 4.5441 4.6431 4.6431 Å, 90.00 90.00 90.00°
Fractional coordinates of all 4 atoms:
Ti 0.5000 0.0000 0.0000
Pm 0.0000 0.5000 0.0000
Pm 0.0000 0.0000 0.5000
Al 0.5000 0.5000 0.5000

Properties
Density of states at the Fermi level ... 1.13 states/eV per atom
E_form ... -19 meV/atom
Uncorrected energy ... -21.2 eV for the cell shown
Calculated density ... 6.18 Mg/m³



6.
DFT (GGA-PBE) results for a relaxed structure of PmTmTiAl.

Cell: 5.1654 5.1654 5.1654 Å, 60.00 60.00 60.00°
Last column: magnetic moment on the atom in μB.
Fractional coordinates of all 4 atoms:
Ti 0.2500 0.2500 0.2500  1.53
Tm 0.5000 0.5000 0.5000  0.31
Pm 0.0000 0.0000 0.0000  0.16
Al 0.7500 0.7500 0.7500  -0.02

Properties
Density of states at the Fermi level ... 1.22 states/eV per atom
E_form ... -28 meV/atom
Uncorrected energy ... -21.0 eV for the cell shown
Calculated density ... 6.62 Mg/m³



7.
DFT (GGA-PBE) results for a relaxed structure of Pm9Al2Tl.

Cell: 4.8989 4.8989 14.7071 Å, 90.00 90.00 90.00°
Fractional coordinates of all 12 atoms:
Pm 0.0000 0.5000 0.5000
Pm 0.5000 0.0000 0.8271
Pm 0.0000 0.5000 0.8271
Pm 0.5000 0.5000 0.6634
Pm 0.5000 0.5000 0.3366
Pm 0.5000 0.0000 0.5000
Pm 0.0000 0.5000 0.1729
Pm 0.5000 0.0000 0.1729
Pm 0.5000 0.5000 0.0000
Al 0.0000 0.0000 0.3344
Al 0.0000 0.0000 0.6656
Tl 0.0000 0.0000 0.0000

Properties
Density of states at the Fermi level ... 1.76 states/eV per atom
E_form ... -180 meV/atom
Uncorrected energy ... -54.8 eV for the cell shown
Calculated density ... 7.35 Mg/m³



8.
DFT (GGA-PBE) results for a relaxed structure of Pm5AlTl4.

Cell: 3.7972 3.7972 19.7339 Å, 90.00 90.00 90.00°
Fractional coordinates of all 10 atoms:
Pm 0.5000 0.5000 0.5000
Pm 0.5000 0.5000 0.2946
Pm 0.5000 0.5000 0.9087
Pm 0.5000 0.5000 0.7054
Pm 0.5000 0.5000 0.0913
Al 0.0000 0.0000 0.0000
Tl 0.0000 0.0000 0.8065
Tl 0.0000 0.0000 0.3972
Tl 0.0000 0.0000 0.1935
Tl 0.0000 0.0000 0.6028

Properties
Density of states at the Fermi level ... 0.71 states/eV per atom
E_form ... -381 meV/atom
Uncorrected energy ... -40.8 eV for the cell shown
Calculated density ... 9.16 Mg/m³



9.
DFT (GGA-PBE) results for a relaxed structure of Pm8Al2Tl.

Cell: 5.1085 8.6229 9.0404 Å, 118.48 106.41 90.00°
Fractional coordinates of all 11 atoms:
Pm 0.6614 0.4429 0.3228
Pm 0.3386 0.1201 0.6772
Pm 0.0000 0.3151 0.0000
Pm 0.6614 0.8799 0.3228
Pm 0.3386 0.5571 0.6772
Pm 0.0000 0.6849 0.0000
Pm 0.1447 0.1447 0.2893
Pm 0.8553 0.8553 0.7107
Tl 0.5000 0.0000 0.0000
Al 0.8069 0.3069 0.6138
Al 0.1931 0.6931 0.3862

Properties
Density of states at the Fermi level ... 1.17 states/eV per atom
E_form ... -151 meV/atom
Uncorrected energy ... -49.5 eV for the cell shown
Calculated density ... 7.11 Mg/m³
Energy above the most stable polymorph in this dataset ... 31 meV per atom



10.
DFT (GGA-PBE) results for a relaxed structure of Pm8AlTl6.

Cell: 9.4837 9.4837 8.3206 Å, 55.26 55.26 60.00°
Fractional coordinates of all 15 atoms:
Al 0.0000 0.0000 0.0000
Pm 0.3105 0.3105 0.0685
Pm 0.3574 0.8431 0.6951
Pm 0.6426 0.1569 0.3049
Pm 0.1569 0.8956 0.3049
Pm 0.8431 0.1044 0.6951
Pm 0.1044 0.3574 0.6951
Pm 0.6895 0.6895 0.9315
Pm 0.8956 0.6426 0.3049
Tl 0.3253 0.5617 0.1975
Tl 0.9155 0.3253 0.1975
Tl 0.5617 0.9155 0.1975
Tl 0.0845 0.6747 0.8025
Tl 0.6747 0.4383 0.8025
Tl 0.4383 0.0845 0.8025

Properties
Density of states at the Fermi level ... 1.09 states/eV per atom
E_form ... -188 meV/atom
Uncorrected energy ... -58.8 eV for the cell shown
Calculated density ... 8.21 Mg/m³



11.
DFT (GGA-PBE) results for a relaxed structure of Pm4AlTl2.

Cell: 5.3469 5.3469 9.2676 Å, 73.23 73.23 60.00°
Fractional coordinates of all 7 atoms:
Tl 0.7520 0.7520 0.7441
Tl 0.2480 0.2480 0.2559
Pm 0.3761 0.3761 0.8716
Pm 0.6239 0.6239 0.1284
Pm 0.8753 0.8753 0.3741
Pm 0.1247 0.1247 0.6259
Al 0.0000 0.0000 0.0000

Properties
Density of states at the Fermi level ... 1.23 states/eV per atom
E_form ... -216 meV/atom
Uncorrected energy ... -29.0 eV for the cell shown
Calculated density ... 7.80 Mg/m³



12.
DFT (GGA-PBE) results for a relaxed structure of PmAl4Tl.

Cell: 5.6710 5.6710 5.6710 Å, 60.00 60.00 60.00°
Fractional coordinates of all 6 atoms:
Al 0.6253 0.1241 0.6253
Al 0.6253 0.6253 0.6253
Al 0.1241 0.6253 0.6253
Al 0.6253 0.6253 0.1241
Pm 0.0000 0.0000 0.0000
Tl 0.2500 0.2500 0.2500

Properties
Density of states at the Fermi level ... 0.89 states/eV per atom
E_form ... -134 meV/atom
Uncorrected energy ... -22.9 eV for the cell shown
Calculated density ... 5.89 Mg/m³



13.
DFT (GGA-PBE) results for a relaxed structure of Pm12Al3Tl.

Cell: 4.8872 4.8872 19.5987 Å, 90.00 90.00 90.00°
Fractional coordinates of all 16 atoms:
Pm 0.0000 0.5000 0.3763
Pm 0.5000 0.5000 0.2531
Pm 0.5000 0.0000 0.3763
Pm 0.5000 0.5000 0.7469
Pm 0.5000 0.0000 0.6237
Pm 0.5000 0.5000 0.5000
Pm 0.0000 0.5000 0.1299
Pm 0.0000 0.5000 0.8701
Pm 0.5000 0.0000 0.8701
Pm 0.0000 0.5000 0.6237
Pm 0.5000 0.5000 0.0000
Pm 0.5000 0.0000 0.1299
Al 0.0000 0.0000 0.5000
Al 0.0000 0.0000 0.2517
Al 0.0000 0.0000 0.7483
Tl 0.0000 0.0000 0.0000

Properties
Density of states at the Fermi level ... 1.54 states/eV per atom
E_form ... -180 meV/atom
Uncorrected energy ... -73.5 eV for the cell shown
Calculated density ... 7.18 Mg/m³



14.
DFT (GGA-PBE) results for a relaxed structure of Pm8Al2Tl.

Cell: 5.0238 8.2049 8.9483 Å, 111.00 106.30 90.00°
Fractional coordinates of all 11 atoms:
Pm 0.9450 0.2725 0.8901
Pm 0.3202 0.0539 0.6403
Pm 0.6798 0.9461 0.3597
Pm 0.8475 0.7774 0.6950
Pm 0.3952 0.5420 0.7904
Pm 0.1525 0.2226 0.3050
Pm 0.0550 0.7275 0.1099
Pm 0.6048 0.4580 0.2096
Al 0.7785 0.3498 0.5570
Al 0.2215 0.6502 0.4430
Tl 0.5000 0.0000 0.0000

Properties
Density of states at the Fermi level ... 1.05 states/eV per atom
E_form ... -182 meV/atom
Uncorrected energy ... -49.9 eV for the cell shown
Calculated density ... 7.17 Mg/m³
Energy above the most stable polymorph in this dataset ... 0 meV per atom



15.
DFT (GGA-PBE) results for a relaxed structure of Pm7AlTl2.

Cell: 7.9529 7.9529 7.9529 Å, 60.00 60.00 60.00°
Fractional coordinates of all 10 atoms:
Pm 0.5000 0.5000 0.5000
Pm 0.2467 0.2467 0.7533
Pm 0.7533 0.2467 0.2467
Pm 0.7533 0.7533 0.2467
Pm 0.2467 0.7533 0.2467
Pm 0.2467 0.7533 0.7533
Pm 0.7533 0.2467 0.7533
Tl 0.7500 0.7500 0.7500
Tl 0.2500 0.2500 0.2500
Al 0.0000 0.0000 0.0000

Properties
Density of states at the Fermi level ... 1.07 states/eV per atom
E_form ... 395 meV/atom
Uncorrected energy ... -37.8 eV for the cell shown
Calculated density ... 6.77 Mg/m³



16.
DFT (GGA-PBE) results for a relaxed structure of PmAl2Tl.

Cell: 4.4468 4.5453 4.5453 Å, 90.00 90.00 90.00°
Fractional coordinates of all 4 atoms:
Tl 0.5000 0.0000 0.0000
Al 0.0000 0.0000 0.5000
Al 0.0000 0.5000 0.0000
Pm 0.5000 0.5000 0.5000

Properties
Density of states at the Fermi level ... 0.31 states/eV per atom
E_form ... -272 meV/atom
Uncorrected energy ... -15.7 eV for the cell shown
Calculated density ... 7.29 Mg/m³



17.
DFT (GGA-PBE) results for a relaxed structure of PmAlTl.

Cell: 3.6884 4.8335 4.8335 Å, 120.00 90.00 90.00°
Fractional coordinates of all 3 atoms:
Pm 0.6668 0.6667 0.3333
Al 0.1689 0.0000 0.0000
Tl 0.1644 0.3333 0.6667

Properties
Density of states at the Fermi level ... 0.18 states/eV per atom
E_form ... -317 meV/atom
Uncorrected energy ... -11.8 eV for the cell shown
Calculated density ... 8.37 Mg/m³
Energy above the most stable polymorph in this dataset ... 0 meV per atom



18.
DFT (GGA-PBE) results for a relaxed structure of PmAlTl.

Cell: 4.2002 4.2002 5.5113 Å, 112.40 112.40 90.00°
Fractional coordinates of all 3 atoms:
Pm 0.9540 0.9540 0.9079
Tl 0.2854 0.2854 0.5708
Al 0.6107 0.6107 0.2213

Properties
Density of states at the Fermi level ... 1.02 states/eV per atom
E_form ... 9 meV/atom
Uncorrected energy ... -10.8 eV for the cell shown
Calculated density ... 7.63 Mg/m³
Energy above the most stable polymorph in this dataset ... 327 meV per atom



19.
DFT (GGA-PBE) results for a relaxed structure of Pm5Al2Tl2.

Cell: 7.9606 8.1167 9.2426 Å, 116.05 90.00 90.00°
Fractional coordinates of all 18 atoms:
Pm 0.8224 0.8221 0.2659
Pm 0.6776 0.0562 0.7341
Pm 0.6776 0.3221 0.2659
Pm 0.0000 0.0000 0.0000
Pm 0.3224 0.6779 0.7341
Pm 0.8224 0.5562 0.7341
Pm 0.1776 0.4438 0.2659
Pm 0.5000 0.5000 0.0000
Pm 0.1776 0.1779 0.7341
Pm 0.3224 0.9438 0.2659
Al 0.8841 0.3857 0.0000
Al 0.3841 0.1143 0.0000
Al 0.1159 0.6143 0.0000
Al 0.6159 0.8857 0.0000
Tl 0.5000 0.7191 0.4382
Tl 0.5000 0.2809 0.5618
Tl 0.0000 0.2191 0.4382
Tl 0.0000 0.7809 0.5618

Properties
Density of states at the Fermi level ... 0.98 states/eV per atom
E_form ... -314 meV/atom
Uncorrected energy ... -77.6 eV for the cell shown
Calculated density ... 7.35 Mg/m³



20.
DFT (GGA-PBE) results for a relaxed structure of Pm5Al2Tl.

Cell: 7.9766 7.9766 9.3767 Å, 115.17 115.17 90.00°
Fractional coordinates of all 16 atoms:
Pm 0.0000 0.0000 0.0000
Pm 0.4761 0.3170 0.2931
Pm 0.8170 0.9761 0.2931
Pm 0.5239 0.6830 0.7069
Pm 0.3170 0.8170 0.2931
Pm 0.1830 0.0239 0.7069
Pm 0.9761 0.4761 0.2931
Pm 0.5000 0.5000 0.0000
Pm 0.6830 0.1830 0.7069
Pm 0.0239 0.5239 0.7069
Tl 0.2500 0.2500 0.5000
Tl 0.7500 0.7500 0.5000
Al 0.1185 0.3815 0.0000
Al 0.3815 0.8815 0.0000
Al 0.6185 0.1185 0.0000
Al 0.8815 0.6185 0.0000

Properties
Density of states at the Fermi level ... 1.09 states/eV per atom
E_form ... -291 meV/atom
Uncorrected energy ... -71.9 eV for the cell shown
Calculated density ... 6.85 Mg/m³



21.
DFT (GGA-PBE) results for a relaxed structure of PmYAlTl.

Cell: 5.3144 5.3144 5.3144 Å, 60.00 60.00 60.00°
Fractional coordinates of all 4 atoms:
Y 0.5000 0.5000 0.5000
Al 0.2500 0.2500 0.2500
Pm 0.0000 0.0000 0.0000
Tl 0.7500 0.7500 0.7500

Properties
Density of states at the Fermi level ... 0.36 states/eV per atom
E_form ... -359 meV/atom
Uncorrected energy ... -18.8 eV for the cell shown
Calculated density ... 7.28 Mg/m³
Energy above the most stable polymorph in this dataset ... 23 meV per atom